RbSiS3, single point on PBEsol structure, DFT meta-GGA SCAN; E_form (uncorrected) = -0.37 eV/atom; crystal system = cubic; total DFT energy (no corrections) = -12.30 eV per atom
1.0
4.6747 0.0000 0.0000
0.0000 4.6747 0.0000
0.0000 0.0000 4.6747
S Si Rb
3 1 1
Cartesian
0.0000 2.3374 0.0000
0.0000 0.0000 2.3374
2.3374 0.0000 0.0000
0.0000 0.0000 0.0000
2.3374 2.3374 2.3374


RbSiTc2S, single point on PBEsol structure, DFT meta-GGA SCAN; E_form (uncorrected) = 3.29 eV/atom; crystal system = tetragonal; total DFT energy (no corrections) = -18.81 eV per atom
1.0
-0.9854 0.8428 4.5020
1.2745 -4.3727 1.0975
4.8940 1.6192 0.7681
S Si Tc Rb
1 1 2 1
Cartesian
2.5916 -0.9554 3.1838
2.4470 0.8096 0.3840
0.6372 -2.1863 0.5488
-0.4927 0.4214 2.2510
0.0000 0.0000 0.0000


Rb4SnS4, single point on PBEsol structure, DFT meta-GGA SCAN; E_form (uncorrected) = -1.21 eV/atom; crystal system = cubic; total DFT energy (no corrections) = -18.70 eV per atom
1.0
13.3892 0.0000 0.0000
0.0000 13.3892 0.0000
0.0000 0.0000 13.3892
Rb Sn S
32 8 32
Cartesian
12.2499 11.5656 8.7308
12.2499 1.8236 4.6584
11.5656 8.7308 12.2499
1.8236 8.7308 1.1394
8.7308 12.2499 11.5656
4.6584 1.1394 11.5656
7.8340 11.3530 4.8710
7.8340 2.0362 8.5182
5.5553 11.3530 8.5182
2.0362 8.5182 7.8340
8.5182 5.5553 11.3530
8.5182 7.8340 2.0362
11.3530 4.8710 7.8340
4.8710 7.8340 11.3530
11.3530 8.5182 5.5553
2.0362 4.8710 5.5553
4.8710 5.5553 2.0362
4.6584 12.2499 1.8236
8.7308 1.1394 1.8236
11.5656 4.6584 1.1394
1.8236 4.6584 12.2499
1.1394 1.8236 8.7308
1.1394 11.5656 4.6584
5.5553 2.0362 4.8710
2.0527 2.0527 2.0527
4.6419 8.7473 4.6419
8.7473 4.6419 4.6419
4.6419 4.6419 8.7473
2.0527 11.3365 11.3365
11.3365 11.3365 2.0527
11.3365 2.0527 11.3365
8.7473 8.7473 8.7473
10.0419 0.0000 6.6946
6.6946 10.0419 0.0000
6.6946 3.3473 0.0000
0.0000 6.6946 3.3473
0.0000 6.6946 10.0419
3.3473 0.0000 6.6946
6.6946 6.6946 6.6946
0.0000 0.0000 0.0000
8.7398 12.0592 8.2084
8.7398 1.3300 5.1808
12.0592 8.2084 8.7398
1.3300 8.2084 4.6494
8.2084 8.7398 12.0592
5.1808 4.6494 12.0592
11.3440 11.8754 5.3646
11.3440 1.5138 8.0246
2.0452 11.8754 8.0246
1.5138 8.0246 11.3440
8.0246 2.0452 11.8754
8.0246 11.3440 1.5138
11.8754 5.3646 11.3440
5.3646 11.3440 11.8754
11.8754 8.0246 2.0452
1.5138 5.3646 2.0452
5.3646 2.0452 1.5138
5.1808 8.7398 1.3300
8.2084 4.6494 1.3300
12.0592 5.1808 4.6494
1.3300 5.1808 8.7398
4.6494 1.3300 8.2084
4.6494 12.0592 5.1808
2.0452 1.5138 5.3646
12.0072 12.0072 12.0072
8.0766 5.3126 8.0766
5.3126 8.0766 8.0766
8.0766 8.0766 5.3126
12.0072 1.3820 1.3820
1.3820 1.3820 12.0072
1.3820 12.0072 1.3820
5.3126 5.3126 5.3126


Rb6Sn2S7, single point on PBEsol structure, DFT meta-GGA SCAN; E_form (uncorrected) = -1.16 eV/atom; crystal system = orthorhombic; total DFT energy (no corrections) = -18.74 eV per atom
1.0
-9.2126 -2.0099 2.9670
4.7777 -9.1374 8.6450
1.0770 10.3790 10.3749
Rb Sn S
24 8 28
Cartesian
-6.7924 5.5887 13.4939
-4.7451 -7.6063 12.0730
-0.2850 1.3834 15.5444
1.6621 0.0930 6.1982
-3.3477 4.5934 10.1583
-1.5246 0.3883 19.3486
1.0483 -5.6177 6.8022
-0.2051 1.9491 9.7974
-5.6856 -4.7115 7.1219
-1.8890 8.1132 11.1312
3.4883 -4.4956 12.7518
-2.6293 -0.4426 12.9690
-5.5726 1.7834 12.2445
-2.2101 1.5728 6.0757
3.6858 0.8543 16.6173
-2.6188 -5.7471 9.0364
-6.0342 1.7439 8.0257
-2.0440 -3.1276 16.3728
3.3331 0.0566 12.5225
-0.8902 -4.6491 12.6882
-6.1906 -1.2522 4.4922
0.5211 5.0695 13.1474
0.9979 -2.2262 9.9615
-2.3661 -2.5326 5.2693
-4.8104 -3.3367 11.7815
-4.6640 1.5571 16.9707
0.5075 -7.5894 10.3653
0.4941 5.4471 7.7600
-3.0532 -0.9512 8.8779
-2.8722 4.2756 14.4000
-0.4810 0.0471 2.4936
1.4480 -2.5224 15.2988
-3.5478 6.3803 13.5038
0.3201 -2.0303 3.3494
0.5294 -1.5782 13.3104
-4.0173 -4.3083 13.8104
-3.3767 1.1363 9.9441
0.4503 3.2795 6.8120
1.3062 1.8530 18.5852
-5.0954 -7.8052 8.6326
-4.8029 -1.4415 7.3558
-0.1299 5.4195 10.0465
1.3579 -5.3794 10.2603
-3.1408 -0.1350 16.3112
-6.5508 4.3617 10.4328
-0.9404 -0.9419 7.7936
2.3475 2.7066 14.2373
-1.5718 -7.6629 11.5103
-6.1480 -1.4195 12.2677
-3.8611 4.2901 6.7696
4.5943 -9.0185 8.7707
-1.3009 4.6115 16.1660
-2.0373 2.7765 12.7762
0.4748 1.9368 3.5407
0.8057 -1.3917 17.2711
-5.9588 -4.8581 10.3860
-5.0227 3.2962 15.2268
-2.6987 -2.7315 10.5806
3.9058 -2.1307 15.0280
-2.8999 0.0295 3.1385


Rb3SnS, single point on PBEsol structure, DFT meta-GGA SCAN; E_form (uncorrected) = -0.49 eV/atom; crystal system = cubic; total DFT energy (no corrections) = -22.04 eV per atom
1.0
-4.8749 -3.9787 -0.0128
3.6320 -4.4583 2.5548
-1.6245 1.9719 5.7504
S Sn Rb
1 1 3
Cartesian
0.0000 0.0000 0.0000
-1.4337 -3.2325 4.1462
1.8160 -2.2291 1.2774
-0.8123 0.9859 2.8752
-2.4374 -1.9894 -0.0064


RbSrS2, single point on PBEsol structure, DFT meta-GGA SCAN; E_form (uncorrected) = -1.34 eV/atom; crystal system = cubic; total DFT energy (no corrections) = -16.91 eV per atom
1.0
5.2508 0.0000 0.0000
2.6254 4.5473 0.0000
2.6254 1.5158 4.2872
Sr S Rb
1 2 1
Cartesian
5.2508 3.0315 2.1436
2.6254 1.5158 1.0718
7.8762 4.5473 3.2154
0.0000 0.0000 0.0000


no.,spin magnetization (μB per formula unit)
1,0.00
2,4.71
3,0.00
4,0.00
5,2.96
6,1.00